## NaSrH2Pd (meta-GGA SCAN)

Data for NaSrH2Pd at its PBEsol-relaxed geometry.

Cell lengths 4.1681, 4.1681, 4.8205 Å; angles 90.00, 90.00, 90.00 degrees
Space group P4/mmm (No. 123)
Unique sites:
1 Na 0.0000 0.0000 0.0000 [1 per cell]
2 Sr 0.5000 0.5000 0.0000 [1 per cell]
3 H 0.0000 0.5000 0.5000 [2 per cell]
4 Pd 0.0000 0.0000 0.5000 [1 per cell]

## SrIrPt (meta-GGA SCAN)

Data for SrIrPt at its PBEsol-relaxed geometry.

Values from the calculation:
calculated formation energy = 0.60 eV per atom

Cell lengths 2.9113, 2.9113, 7.3683 Å; angles 90.00, 90.00, 120.00 degrees
Space group P3m1 (No. 156)
Unique sites:
1 Sr 0.0000 0.0000 0.0000 [1 per cell]
2 Ir 0.3333 0.6667 0.6526 [1 per cell]
3 Pt 0.6667 0.3333 0.3532 [1 per cell]

## ZrReBr2 (meta-GGA SCAN)

Data for ZrReBr2 at its PBEsol-relaxed geometry.

Values from the calculation:
excess energy over the best structure of this formula in the dataset = 0.765 eV/atom
energy relative to the elements, uncorrected = 286 kJ/mol of formula units

Cell lengths 4.1004, 4.1004, 8.7927 Å; angles 90.00, 90.00, 90.00 degrees
Space group I-4m2 (No. 119)
Unique sites:
1 Zr 0.0000 0.0000 0.0000 [2 per cell]
2 Re 0.0000 0.5000 0.7500 [2 per cell]
3 Br 0.0000 0.0000 0.5000 [2 per cell]
4 Br 0.0000 0.5000 0.2500 [2 per cell]

## Nb3SbSe (meta-GGA SCAN)

Data for Nb3SbSe at its PBEsol-relaxed geometry.

Values from the calculation:
energy relative to the elements, uncorrected = 240 kJ/mol of formula units

Cell lengths 4.7151, 4.7151, 4.7151 Å; angles 90.00, 90.00, 90.00 degrees
Space group Pm-3m (No. 221)
Unique sites:
1 Nb 0.0000 0.0000 0.5000 [3 per cell]
2 Sb 0.5000 0.5000 0.5000 [1 per cell]
3 Se 0.0000 0.0000 0.0000 [1 per cell]

## NbPdAuO2 (meta-GGA SCAN)

Data for NbPdAuO2 at its PBEsol-relaxed geometry.

Values from the calculation:
energy relative to the elements, uncorrected = 166 kJ/mol of formula units

Cell lengths 3.8981, 3.8981, 4.9556 Å; angles 90.00, 90.00, 90.00 degrees
Space group P4/mmm (No. 123)
Unique sites:
1 Nb 0.0000 0.0000 0.0000 [1 per cell]
2 Pd 0.5000 0.5000 0.5000 [1 per cell]
3 Au 0.5000 0.5000 0.0000 [1 per cell]
4 O 0.0000 0.5000 0.5000 [2 per cell]

## Tc2IrW (meta-GGA SCAN)

Data for Tc2IrW at its PBEsol-relaxed geometry.

Values from the calculation:
calculated formation energy = 0.01 eV per atom
excess energy over the best structure of this formula in the dataset = 0.192 eV/atom

Cell lengths 2.7111, 2.7111, 7.8811 Å; angles 90.00, 90.00, 90.00 degrees
Space group P4/mmm (No. 123)
Unique sites:
1 Tc 0.0000 0.0000 0.2422 [2 per cell]
2 Ir 0.5000 0.5000 0.0000 [1 per cell]
3 W 0.5000 0.5000 0.5000 [1 per cell]

## SnBi3Os (meta-GGA SCAN)

Data for SnBi3Os at its PBEsol-relaxed geometry.

Values from the calculation:
calculated formation energy = 2.03 eV per atom

Cell lengths 5.5683, 5.5683, 5.5683 Å; angles 90.00, 90.00, 90.00 degrees
Space group Pm-3m (No. 221)
Unique sites:
1 Sn 0.0000 0.0000 0.0000 [1 per cell]
2 Bi 0.0000 0.0000 0.5000 [3 per cell]
3 Os 0.5000 0.5000 0.5000 [1 per cell]

## Re2RuPb (meta-GGA SCAN)

Data for Re2RuPb at its PBEsol-relaxed geometry.

Values from the calculation:
calculated formation energy = 0.80 eV per atom

Cell lengths 2.8435, 3.9772, 5.9648 Å; angles 90.00, 90.00, 90.00 degrees
Space group Pmmm (No. 47)
Unique sites:
1 Re 0.0000 0.0000 0.1998 [2 per cell]
2 Ru 0.5000 0.5000 0.0000 [1 per cell]
3 Pb 0.5000 0.5000 0.5000 [1 per cell]

## BaMoAu2 (meta-GGA SCAN)

Data for BaMoAu2 at its PBEsol-relaxed geometry.

Values from the calculation:
calculated formation energy = 0.26 eV per atom
excess energy over the best structure of this formula in the dataset = 0.020 eV/atom

Cell lengths 3.0179, 4.7354, 6.2298 Å; angles 90.00, 90.24, 90.00 degrees
Space group Pm (No. 6)
Unique sites:
1 Ba 0.0000 0.0000 0.0000 [1 per cell]
2 Mo 0.9946 0.5000 0.3945 [1 per cell]
3 Au 0.4980 0.0000 0.4688 [1 per cell]
4 Au 0.4979 0.5000 0.7543 [1 per cell]

## ScZnSi3 (meta-GGA SCAN)

Data for ScZnSi3 at its PBEsol-relaxed geometry.

Values from the calculation:
energy relative to the elements, uncorrected = 562 kJ/mol of formula units

Cell lengths 4.9633, 4.9633, 4.9633 Å; angles 90.00, 90.00, 90.00 degrees
Space group Pm-3m (No. 221)
Unique sites:
1 Sc 0.0000 0.0000 0.0000 [1 per cell]
2 Zn 0.5000 0.5000 0.5000 [1 per cell]
3 Si 0.0000 0.0000 0.5000 [3 per cell]

## LiCa7Ge3H3 (meta-GGA SCAN)

Data for LiCa7Ge3H3 at its PBEsol-relaxed geometry.

Cell lengths 9.7479, 13.5895, 8.6478 Å; angles 90.00, 90.00, 90.00 degrees
Space group Pnma (No. 62)
Unique sites:
1 Li 0.1350 0.2500 0.2455 [4 per cell]
2 Ca 0.0904 0.1092 0.9455 [8 per cell]
3 Ca 0.1141 0.6109 0.6696 [8 per cell]
4 Ca 0.1159 0.7500 0.3042 [4 per cell]
5 Ca 0.1834 0.1190 0.5470 [8 per cell]
6 Ge 0.1071 0.7500 0.9250 [4 per cell]
7 Ge 0.1310 0.5250 0.2883 [8 per cell]
8 H 0.0229 0.2500 0.4592 [4 per cell]
9 H 0.1337 0.2500 0.7486 [4 per cell]
10 H 0.2476 0.2500 0.0413 [4 per cell]

## AlVFe2 (meta-GGA SCAN)

Data for AlVFe2 at its PBEsol-relaxed geometry.

Values from the calculation:
calculated formation energy = -0.44 eV per atom

Cell lengths 5.6325, 5.6325, 5.6325 Å; angles 90.00, 90.00, 90.00 degrees
Space group Fm-3m (No. 225)
Unique sites:
1 Al 0.0000 0.0000 0.0000 [4 per cell]
2 V 0.0000 0.0000 0.5000 [4 per cell]
3 Fe 0.2500 0.2500 0.2500 [8 per cell]

## BaMn2In (meta-GGA SCAN)

Data for BaMn2In at its PBEsol-relaxed geometry.

Values from the calculation:
calculated formation energy = 0.54 eV per atom

Cell lengths 3.6043, 3.6043, 6.9777 Å; angles 90.00, 90.00, 90.00 degrees
Space group P4/mmm (No. 123)
Unique sites:
1 Ba 0.0000 0.0000 0.0000 [1 per cell]
2 Mn 0.5000 0.5000 0.3566 [2 per cell]
3 In 0.0000 0.0000 0.5000 [1 per cell]

## Zn4P3 (meta-GGA SCAN)

Data for Zn4P3 at its PBEsol-relaxed geometry.

Values from the calculation:
calculated formation energy = 0.07 eV per atom
excess energy over the best structure of this formula in the dataset = 0.000 eV/atom

Cell lengths 3.4014, 3.4014, 19.9688 Å; angles 90.00, 90.00, 90.00 degrees
Space group I4/mmm (No. 139)
Unique sites:
1 Zn 0.0000 0.0000 0.0602 [4 per cell]
2 Zn 0.0000 0.0000 0.3031 [4 per cell]
3 P 0.0000 0.0000 0.1753 [4 per cell]
4 P 0.0000 0.0000 0.5000 [2 per cell]

## La2AgHg (meta-GGA SCAN)

Data for La2AgHg at its PBEsol-relaxed geometry.

Values from the calculation:
calculated formation energy = -0.51 eV per atom

Cell lengths 5.3739, 5.3739, 3.7725 Å; angles 90.00, 90.00, 90.00 degrees
Space group P4/mmm (No. 123)
Unique sites:
1 La 0.0000 0.5000 0.0000 [2 per cell]
2 Ag 0.0000 0.0000 0.5000 [1 per cell]
3 Hg 0.5000 0.5000 0.5000 [1 per cell]

## Sr2FeH6 (meta-GGA SCAN)

Data for Sr2FeH6 at its PBEsol-relaxed geometry.

Cell lengths 7.3146, 7.3146, 7.3146 Å; angles 90.00, 90.00, 90.00 degrees
Space group Fm-3m (No. 225)
Unique sites:
1 Sr 0.2500 0.2500 0.2500 [8 per cell]
2 Fe 0.0000 0.0000 0.0000 [4 per cell]
3 H 0.0000 0.0000 0.2188 [24 per cell]

## ScSiOs (meta-GGA SCAN)

Data for ScSiOs at its PBEsol-relaxed geometry.

Values from the calculation:
energy relative to the elements, uncorrected = 155 kJ/mol of formula units

Cell lengths 6.0255, 6.0255, 6.0255 Å; angles 90.00, 90.00, 90.00 degrees
Space group F-43m (No. 216)
Unique sites:
1 Sc 0.0000 0.0000 0.0000 [4 per cell]
2 Si 0.2500 0.2500 0.7500 [4 per cell]
3 Os 0.2500 0.2500 0.2500 [4 per cell]

## Ca3ScCoO6 (meta-GGA SCAN)

Data for Ca3ScCoO6 at its PBEsol-relaxed geometry.

Values from the calculation:
energy relative to the elements, uncorrected = -3221 kJ/mol of formula units

Cell lengths 9.0952, 9.0952, 10.4476 Å; angles 90.00, 90.00, 120.00 degrees
Space group R-3c (No. 167, hexagonal axes)
Unique sites:
1 Ca 0.0000 0.3689 0.2500 [18 per cell]
2 Sc 0.0000 0.0000 0.2500 [6 per cell]
3 Co 0.0000 0.0000 0.0000 [6 per cell]
4 O 0.0235 0.1786 0.3887 [36 per cell]

## MgMn2P (meta-GGA SCAN)

Data for MgMn2P at its PBEsol-relaxed geometry.

Values from the calculation:
calculated formation energy = -0.12 eV per atom

Cell lengths 3.7105, 3.7105, 7.2217 Å; angles 90.00, 90.00, 90.00 degrees
Space group I4/mmm (No. 139)
Unique sites:
1 Mg 0.0000 0.0000 0.0000 [2 per cell]
2 Mn 0.0000 0.5000 0.2500 [4 per cell]
3 P 0.0000 0.0000 0.5000 [2 per cell]

## KHf3Pb (meta-GGA SCAN)

Data for KHf3Pb at its PBEsol-relaxed geometry.

Values from the calculation:
calculated formation energy = 1.43 eV per atom

Cell lengths 5.4511, 5.4511, 5.4511 Å; angles 90.00, 90.00, 90.00 degrees
Space group Pm-3m (No. 221)
Unique sites:
1 K 0.0000 0.0000 0.0000 [1 per cell]
2 Hf 0.0000 0.5000 0.5000 [3 per cell]
3 Pb 0.5000 0.5000 0.5000 [1 per cell]

## ReAs (meta-GGA SCAN)

Data for ReAs at its PBEsol-relaxed geometry.

Values from the calculation:
calculated formation energy = 0.21 eV per atom
excess energy over the best structure of this formula in the dataset = 0.167 eV/atom

Cell lengths 8.6936, 3.0891, 4.6747 Å; angles 90.00, 108.51, 90.00 degrees
Space group C2/m (No. 12)
Unique sites:
1 Re 0.1317 0.0000 0.2968 [4 per cell]
2 As 0.1127 0.5000 0.8291 [4 per cell]

## SrLaPt2 (meta-GGA SCAN)

Data for SrLaPt2 at its PBEsol-relaxed geometry.

Values from the calculation:
calculated formation energy = -1.09 eV per atom
excess energy over the best structure of this formula in the dataset = 0.063 eV/atom

Cell lengths 7.1955, 7.1955, 7.1955 Å; angles 90.00, 90.00, 90.00 degrees
Space group Fm-3m (No. 225)
Unique sites:
1 Sr 0.0000 0.0000 0.0000 [4 per cell]
2 La 0.0000 0.0000 0.5000 [4 per cell]
3 Pt 0.2500 0.2500 0.2500 [8 per cell]

## SiAgP2 (meta-GGA SCAN)

Data for SiAgP2 at its PBEsol-relaxed geometry.

Values from the calculation:
energy relative to the elements, uncorrected = 280 kJ/mol of formula units

Cell lengths 3.5863, 3.5863, 9.9396 Å; angles 90.00, 90.00, 90.00 degrees
Space group I-4m2 (No. 119)
Unique sites:
1 Si 0.0000 0.0000 0.0000 [2 per cell]
2 Ag 0.0000 0.5000 0.2500 [2 per cell]
3 P 0.0000 0.0000 0.5000 [2 per cell]
4 P 0.0000 0.5000 0.7500 [2 per cell]

## KSb2Mo (meta-GGA SCAN)

Data for KSb2Mo at its PBEsol-relaxed geometry.

Values from the calculation:
excess energy over the best structure of this formula in the dataset = 0.000 eV/atom
energy relative to the elements, uncorrected = 23 kJ/mol of formula units

Cell lengths 8.4455, 3.3244, 8.3452 Å; angles 90.00, 113.96, 90.00 degrees
Space group Cm (No. 8)
Unique sites:
1 K 0.0000 0.0000 0.0000 [2 per cell]
2 Sb 0.1485 0.0000 0.6758 [2 per cell]
3 Sb 0.4124 0.0000 0.3274 [2 per cell]
4 Mo 0.2673 0.5000 0.4831 [2 per cell]

## Sc2CO (meta-GGA SCAN)

Data for Sc2CO at its PBEsol-relaxed geometry.

Values from the calculation:
excess energy over the best structure of this formula in the dataset = 0.315 eV/atom
energy relative to the elements, uncorrected = -704 kJ/mol of formula units

Cell lengths 4.8258, 4.8258, 10.1110 Å; angles 90.00, 90.00, 90.00 degrees
Space group I-42d (No. 122)
Unique sites:
1 Sc 0.2450 0.2500 0.1250 [8 per cell]
2 C 0.0000 0.0000 0.5000 [4 per cell]
3 O 0.0000 0.0000 0.0000 [4 per cell]

Number 1: volume 16.749 A^3/atom, total energy -12.99 eV per atom. Number 2: volume 18.028 A^3/atom, total energy -53.92 eV per atom. Number 3: volume 18.479 A^3/atom, total energy -34.44 eV per atom. Number 4: volume 20.965 A^3/atom, total energy -30.85 eV per atom. Number 5: volume 15.060 A^3/atom, total energy -29.16 eV per atom. Number 6: volume 14.482 A^3/atom, total energy -52.72 eV per atom. Number 7: volume 34.530 A^3/atom, total energy -66.68 eV per atom. Number 8: volume 16.864 A^3/atom, total energy -62.40 eV per atom. Number 9: volume 22.257 A^3/atom, total energy -52.92 eV per atom. Number 10: volume 24.453 A^3/atom, total energy -10.39 eV per atom. Number 11: volume 20.457 A^3/atom, total energy -10.48 eV per atom. Number 12: volume 11.168 A^3/atom, total energy -15.81 eV per atom. Number 13: volume 22.662 A^3/atom, total energy -26.82 eV per atom. Number 14: volume 16.503 A^3/atom, total energy -12.11 eV per atom. Number 15: volume 27.237 A^3/atom, total energy -46.95 eV per atom. Number 16: volume 10.871 A^3/atom, total energy -9.89 eV per atom. Number 17: volume 18.230 A^3/atom, total energy -31.51 eV per atom. Number 18: volume 11.340 A^3/atom, total energy -11.94 eV per atom. Number 19: volume 12.429 A^3/atom, total energy -13.09 eV per atom. Number 20: volume 32.396 A^3/atom, total energy -52.99 eV per atom. Number 21: volume 14.881 A^3/atom, total energy -45.43 eV per atom. Number 22: volume 23.284 A^3/atom, total energy -52.53 eV per atom. Number 23: volume 15.980 A^3/atom, total energy -14.82 eV per atom. Number 24: volume 26.764 A^3/atom, total energy -29.37 eV per atom. Number 25: volume 14.717 A^3/atom, total energy -13.03 eV per atom.